Record 1
Density functional theory data (GGA-PBE) for a relaxed YNiSn2 crystal.

Cell and atoms, written as CIF:
```
data_YNiSn2
_space_group_name_H-M_alt 'P 1'
_space_group_IT_number 1
_cell_length_a 5.0197
_cell_length_b 5.0197
_cell_length_c 5.0197
_cell_angle_alpha 60.00
_cell_angle_beta 60.00
_cell_angle_gamma 60.00
loop_
_space_group_symop_operation_xyz
'x,y,z'
loop_
_atom_site_label
_atom_site_fract_x
_atom_site_fract_y
_atom_site_fract_z
Y1 0.0000 0.0000 0.0000
Ni1 0.2500 0.2500 0.2500
Sn1 0.5000 0.5000 0.5000
Sn2 0.7500 0.7500 0.7500
```

The total energy comes out at -5.13 eV/atom. As for the total magnetic moment: 0.01 μB per cell. Its space-group type is F-43m (216).

---

Record 2
Density functional theory data (GGA-PBE) for a relaxed Y2Ni2Sn crystal.

Cell and atoms, written as CIF:
```
data_Y2Ni2Sn
_space_group_name_H-M_alt 'P 1'
_space_group_IT_number 1
_cell_length_a 5.3256
_cell_length_b 5.3256
_cell_length_c 5.3256
_cell_angle_alpha 120.71
_cell_angle_beta 120.71
_cell_angle_gamma 88.78
loop_
_space_group_symop_operation_xyz
'x,y,z'
loop_
_atom_site_label
_atom_site_fract_x
_atom_site_fract_y
_atom_site_fract_z
Y1 0.2500 0.7500 0.5000
Y2 0.7500 0.2500 0.5000
Ni1 0.1469 0.1469 0.0000
Ni2 0.8531 0.8531 0.0000
Sn1 0.5000 0.5000 0.0000
```

The total energy comes out at -6.00 eV/atom. As for the total magnetic moment: 0.00 μB per cell. Its space-group type is I4/mmm (139).

---

Record 3
Density functional theory data (GGA-PBE) for a relaxed Y2NiSn6 crystal.

Cell and atoms, written as CIF:
```
data_Y2NiSn6
_space_group_name_H-M_alt 'P 1'
_space_group_IT_number 1
_cell_length_a 11.5947
_cell_length_b 11.5947
_cell_length_c 4.4330
_cell_angle_alpha 90.00
_cell_angle_beta 90.00
_cell_angle_gamma 158.25
loop_
_space_group_symop_operation_xyz
'x,y,z'
loop_
_atom_site_label
_atom_site_fract_x
_atom_site_fract_y
_atom_site_fract_z
Y1 0.1774 0.8226 0.0000
Y2 0.8226 0.1774 0.0000
Ni1 0.5000 0.5000 0.5000
Sn1 0.0697 0.9303 0.5000
Sn2 0.2948 0.7052 0.5000
Sn3 0.4307 0.5693 0.0000
Sn4 0.5693 0.4307 0.0000
Sn5 0.7052 0.2948 0.5000
Sn6 0.9303 0.0697 0.5000
```

The total energy comes out at -5.21 eV/atom. As for the total magnetic moment: 0.00 μB per cell. Its space-group type is Cmmm (65).

---

Record 4
Density functional theory data (GGA-PBE) for a relaxed ZnNi2Sn crystal.

Cell and atoms, written as CIF:
```
data_ZnNi2Sn
_space_group_name_H-M_alt 'P 1'
_space_group_IT_number 1
_cell_length_a 4.3025
_cell_length_b 4.3025
_cell_length_c 4.3025
_cell_angle_alpha 60.00
_cell_angle_beta 60.00
_cell_angle_gamma 60.00
loop_
_space_group_symop_operation_xyz
'x,y,z'
loop_
_atom_site_label
_atom_site_fract_x
_atom_site_fract_y
_atom_site_fract_z
Zn1 0.0000 0.0000 0.0000
Ni1 0.2500 0.2500 0.2500
Ni2 0.5000 0.5000 0.5000
Sn1 0.7500 0.7500 0.7500
```

The total energy comes out at -4.09 eV/atom. As for the total magnetic moment: 0.00 μB per cell. Its space-group type is F-43m (216).

---

Record 5
Density functional theory data (GGA-PBE) for a relaxed ZrNiSn2 crystal.

Cell and atoms, written as CIF:
```
data_ZrNiSn2
_space_group_name_H-M_alt 'P 1'
_space_group_IT_number 1
_cell_length_a 4.9030
_cell_length_b 4.9030
_cell_length_c 4.9030
_cell_angle_alpha 60.00
_cell_angle_beta 60.00
_cell_angle_gamma 60.00
loop_
_space_group_symop_operation_xyz
'x,y,z'
loop_
_atom_site_label
_atom_site_fract_x
_atom_site_fract_y
_atom_site_fract_z
Zr1 0.0000 0.0000 0.0000
Ni1 0.7500 0.7500 0.7500
Sn1 0.2500 0.2500 0.2500
Sn2 0.5000 0.5000 0.5000
```

The total energy comes out at -5.41 eV/atom. As for the total magnetic moment: 0.37 μB per cell. Its space-group type is F-43m (216).

---

Record 6
Density functional theory data (GGA-PBE) for a relaxed Zr6NiSn2 crystal.

Cell and atoms, written as CIF:
```
data_Zr6NiSn2
_space_group_name_H-M_alt 'P 1'
_space_group_IT_number 1
_cell_length_a 7.9652
_cell_length_b 7.9652
_cell_length_c 3.5445
_cell_angle_alpha 90.00
_cell_angle_beta 90.00
_cell_angle_gamma 120.00
loop_
_space_group_symop_operation_xyz
'x,y,z'
loop_
_atom_site_label
_atom_site_fract_x
_atom_site_fract_y
_atom_site_fract_z
Zr1 0.0000 0.2459 0.0000
Zr2 0.0000 0.6045 0.5000
Zr3 0.2459 0.0000 0.0000
Zr4 0.3955 0.3955 0.5000
Zr5 0.6045 0.0000 0.5000
Zr6 0.7541 0.7541 0.0000
Ni1 0.0000 0.0000 0.5000
Sn1 0.3333 0.6667 0.0000
Sn2 0.6667 0.3333 0.0000
```

The total energy comes out at -7.65 eV/atom. As for the total magnetic moment: 0.02 μB per cell. Its space-group type is P-62m (189).

---

Record 7
Density functional theory data (GGA-PBE) for a relaxed ZrNi2Sn5 crystal.

Cell and atoms, written as CIF:
```
data_ZrNi2Sn5
_space_group_name_H-M_alt 'P 1'
_space_group_IT_number 1
_cell_length_a 4.9176
_cell_length_b 6.2441
_cell_length_c 6.2441
_cell_angle_alpha 61.50
_cell_angle_beta 90.00
_cell_angle_gamma 90.00
loop_
_space_group_symop_operation_xyz
'x,y,z'
loop_
_atom_site_label
_atom_site_fract_x
_atom_site_fract_y
_atom_site_fract_z
Zr1 0.0000 0.0000 0.0000
Ni1 0.0000 0.4550 0.4550
Ni2 0.5000 0.8185 0.8185
Sn1 0.0000 0.5182 0.9938
Sn2 0.0000 0.9938 0.5182
Sn3 0.5000 0.3397 0.3397
Sn4 0.5000 0.3421 0.8163
Sn5 0.5000 0.8163 0.3421
```

The total energy comes out at -4.92 eV/atom. As for the total magnetic moment: 0.01 μB per cell. Its space-group type is Amm2 (38).

---

Record 8
Density functional theory data (GGA-PBE) for a relaxed ZrNiSn2 crystal.

Cell and atoms, written as CIF:
```
data_ZrNiSn2
_space_group_name_H-M_alt 'P 1'
_space_group_IT_number 1
_cell_length_a 5.3123
_cell_length_b 6.0080
_cell_length_c 6.0080
_cell_angle_alpha 121.65
_cell_angle_beta 90.00
_cell_angle_gamma 90.00
loop_
_space_group_symop_operation_xyz
'x,y,z'
loop_
_atom_site_label
_atom_site_fract_x
_atom_site_fract_y
_atom_site_fract_z
Zr1 0.2500 0.0874 0.9126
Zr2 0.7500 0.9126 0.0874
Ni1 0.2500 0.1252 0.4383
Ni2 0.7500 0.4383 0.1252
Sn1 0.2500 0.5819 0.4055
Sn2 0.2500 0.6004 0.9319
Sn3 0.7500 0.4055 0.5819
Sn4 0.7500 0.9319 0.6004
```

The total energy comes out at -5.61 eV/atom. As for the total magnetic moment: 0.00 μB per cell. Its space-group type is Ama2 (40).

---

Record 9
Density functional theory data (GGA-PBE) for a relaxed Zr3Ni2Sn3 crystal.

Cell and atoms, written as CIF:
```
data_Zr3Ni2Sn3
_space_group_name_H-M_alt 'P 1'
_space_group_IT_number 1
_cell_length_a 5.2688
_cell_length_b 5.9656
_cell_length_c 5.9656
_cell_angle_alpha 59.87
_cell_angle_beta 90.00
_cell_angle_gamma 90.00
loop_
_space_group_symop_operation_xyz
'x,y,z'
loop_
_atom_site_label
_atom_site_fract_x
_atom_site_fract_y
_atom_site_fract_z
Zr1 0.0000 0.0000 0.0000
Zr2 0.5000 0.3690 0.8711
Zr3 0.5000 0.8711 0.3690
Ni1 0.0000 0.5248 0.5248
Ni2 0.5000 0.8708 0.8708
Sn1 0.0000 0.0018 0.5077
Sn2 0.0000 0.5077 0.0018
Sn3 0.5000 0.3797 0.3797
```

As for the total magnetic moment: 0.00 μB per cell. Its space-group type is Amm2 (38). For the excess energy over the best structure of this formula in the dataset, the calculation gives 27.5 kJ/mol of atoms.

---

Record 10
Density functional theory data (GGA-PBE) for a relaxed Zr3Ni2Sn3 crystal.

Cell and atoms, written as CIF:
```
data_Zr3Ni2Sn3
_space_group_name_H-M_alt 'P 1'
_space_group_IT_number 1
_cell_length_a 6.3493
_cell_length_b 6.3493
_cell_length_c 4.5297
_cell_angle_alpha 90.00
_cell_angle_beta 90.00
_cell_angle_gamma 120.00
loop_
_space_group_symop_operation_xyz
'x,y,z'
loop_
_atom_site_label
_atom_site_fract_x
_atom_site_fract_y
_atom_site_fract_z
Zr1 0.1717 0.3434 0.0000
Zr2 0.1717 0.8283 0.0000
Zr3 0.6566 0.8283 0.0000
Ni1 0.3333 0.6667 0.5000
Ni2 0.6667 0.3333 0.0000
Sn1 0.3524 0.1762 0.5000
Sn2 0.8238 0.1762 0.5000
Sn3 0.8238 0.6476 0.5000
```

As for the total magnetic moment: 0.83 μB per cell. Its space-group type is P-6m2 (187). For the excess energy over the best structure of this formula in the dataset, the calculation gives 23.1 kJ/mol of atoms.

---

Record 11
Density functional theory data (GGA-PBE) for a relaxed ZrNiSn2 crystal.

Cell and atoms, written as CIF:
```
data_ZrNiSn2
_space_group_name_H-M_alt 'P 1'
_space_group_IT_number 1
_cell_length_a 4.9030
_cell_length_b 4.9030
_cell_length_c 4.9030
_cell_angle_alpha 60.00
_cell_angle_beta 60.00
_cell_angle_gamma 60.00
loop_
_space_group_symop_operation_xyz
'x,y,z'
loop_
_atom_site_label
_atom_site_fract_x
_atom_site_fract_y
_atom_site_fract_z
Zr1 0.0000 0.0000 0.0000
Ni1 0.7500 0.7500 0.7500
Sn1 0.2500 0.2500 0.2500
Sn2 0.5000 0.5000 0.5000
```

The total energy comes out at -5.41 eV/atom. As for the total magnetic moment: 0.37 μB per cell. Its space-group type is F-43m (216).

---

Record 12
Density functional theory data (GGA-PBE) for a relaxed Zr3Ni2Sn3 crystal.

Cell and atoms, written as CIF:
```
data_Zr3Ni2Sn3
_space_group_name_H-M_alt 'P 1'
_space_group_IT_number 1
_cell_length_a 5.9519
_cell_length_b 4.2835
_cell_length_c 6.4422
_cell_angle_alpha 90.00
_cell_angle_beta 109.77
_cell_angle_gamma 90.00
loop_
_space_group_symop_operation_xyz
'x,y,z'
loop_
_atom_site_label
_atom_site_fract_x
_atom_site_fract_y
_atom_site_fract_z
Zr1 0.0000 0.0000 0.0000
Zr2 0.0302 0.0000 0.5019
Zr3 0.6661 0.5000 0.6741
Ni1 0.2210 0.5000 0.2723
Ni2 0.5248 0.0000 0.9391
Sn1 0.2337 0.5000 0.8296
Sn2 0.4738 0.0000 0.3592
Sn3 0.7583 0.5000 0.1814
```

As for the total magnetic moment: 0.05 μB per cell. Its space-group type is Pm (6). For the excess energy over the best structure of this formula in the dataset, the calculation gives 0.0 kJ/mol of atoms.

---

What did the ninth record say?
Density functional theory data (GGA-PBE) for a relaxed Zr3Ni2Sn3 crystal.

Cell and atoms, written as CIF:
```
data_Zr3Ni2Sn3
_space_group_name_H-M_alt 'P 1'
_space_group_IT_number 1
_cell_length_a 5.2688
_cell_length_b 5.9656
_cell_length_c 5.9656
_cell_angle_alpha 59.87
_cell_angle_beta 90.00
_cell_angle_gamma 90.00
loop_
_space_group_symop_operation_xyz
'x,y,z'
loop_
_atom_site_label
_atom_site_fract_x
_atom_site_fract_y
_atom_site_fract_z
Zr1 0.0000 0.0000 0.0000
Zr2 0.5000 0.3690 0.8711
Zr3 0.5000 0.8711 0.3690
Ni1 0.0000 0.5248 0.5248
Ni2 0.5000 0.8708 0.8708
Sn1 0.0000 0.0018 0.5077
Sn2 0.0000 0.5077 0.0018
Sn3 0.5000 0.3797 0.3797
```

As for the total magnetic moment: 0.00 μB per cell. Its space-group type is Amm2 (38). For the excess energy over the best structure of this formula in the dataset, the calculation gives 27.5 kJ/mol of atoms.

---

Question: What is the formula in the twelfth record?
Answer: Zr3Ni2Sn3

---

Question: Which value of total magnetic moment does entry 3 give?
Answer: 0.00 μB per cell